Material: Rb2LaI6O
Method: DFT, PBE-GGA
State: optimized geometry

Lattice parameters (Å, degrees): 9.5071 9.5071 10.6877 90.00 90.00 90.00
Closest atoms and distances in Å follow each position.
Space group I4/mmm (No. 139)
One atom of each set of equivalent atoms:
Rb  0.0000  0.5000  0.2500 (multiplicity 4)  12 I 4.30-4.78
La  0.0000  0.0000  0.0000 (multiplicity 2)  6 I 3.13-3.18
I  0.0000  0.0000  0.2973 (multiplicity 4)  1 O 2.17
I  0.2330  0.2330  0.0000 (multiplicity 8)  1 La 3.13
O  0.0000  0.0000  0.5000 (multiplicity 2)  2 I 2.17

total DFT energy (no corrections) = -3.08 eV per atom
V = 48.30 A^3/atom
uncorrected formation energy = -0.97 eV/atom

Material: La5TlIn
Method: DFT, PBE-GGA
State: optimized geometry

Lattice parameters (Å, degrees): 9.9620 12.0224 9.0831 90.00 120.01 90.00
Closest atoms and distances in Å follow each position.
Space group C2/c (No. 15)
One atom of each set of equivalent atoms:
La  0.0000  0.0716  0.2500 (multiplicity 4)  1 In 3.20, 2 Tl 3.21, 4 La 3.44-3.47
La  0.0950  0.3357  0.0951 (multiplicity 8)  2 La 3.24-3.29, 2 In 3.26-3.57, 2 Tl 3.26-3.36
La  0.2208  0.4603  0.8645 (multiplicity 8)  4 La 3.24-3.47
Tl  0.2500  0.2500  0.5000 (multiplicity 4)  6 La 3.21-3.36
In  0.0000  0.1943  0.7500 (multiplicity 4)  5 La 3.20-3.57

total DFT energy (no corrections) = -4.38 eV per atom
calculated formation energy = -127 meV per atom
V = 33.64 A^3/atom

Material: NaSc2MoW
Method: DFT, PBE-GGA
State: optimized geometry

Lattice parameters (Å, degrees): 4.5268 4.5268 4.9252 90.00 90.00 90.00
Closest atoms and distances in Å follow each position.
Space group P4/mmm (No. 123)
One atom of each set of equivalent atoms:
Na  0.0000  0.0000  0.0000 (multiplicity 1)  4 Sc 2.26, 2 W 2.46
Sc  0.0000  0.5000  0.0000 (multiplicity 2)  2 Na 2.26
Mo  0.5000  0.5000  0.5000 (multiplicity 1)  4 W 3.20, 8 Sc 3.34
W  0.0000  0.0000  0.5000 (multiplicity 1)  2 Na 2.46

total DFT energy (no corrections) = -5.56 eV per atom
calculated formation energy = 1998 meV per atom
V = 20.19 A^3/atom

Material: CeAsP
Method: DFT, PBE-GGA
State: optimized geometry

Lattice parameters (Å, degrees): 3.9457 3.9457 8.7719 90.00 90.00 90.00
Closest atoms and distances in Å follow each position.
Space group I4mm (No. 107)
One atom of each set of equivalent atoms:
Ce  0.0000  0.0000  0.0000 (multiplicity 2)  4 P 2.95, 5 As 3.07-3.08
As  0.0000  0.0000  0.6499 (multiplicity 2)  1 P 2.27
P  0.0000  0.0000  0.3907 (multiplicity 2)  1 As 2.27

total DFT energy (no corrections) = -6.18 eV per atom
calculated formation energy = -853 meV per atom
polymorph energy (0 for the lowest one) = 0.170 eV/atom
V = 22.76 A^3/atom

Material: CrCuPt4
Method: DFT, PBE-GGA
State: optimized geometry

Lattice parameters (Å, degrees): 7.3974 7.3974 7.3974 90.00 90.00 90.00
Closest atoms and distances in Å follow each position.
Space group F-43m (No. 216)
One atom of each set of equivalent atoms:
Cr  0.0000  0.0000  0.0000 (multiplicity 4)  12 Pt 3.07, 4 Cu 3.20
Cu  0.2500  0.2500  0.7500 (multiplicity 4)  12 Pt 3.07, 4 Cr 3.20
Pt  0.1250  0.1250  0.3750 (multiplicity 16)  6 Pt 2.61-2.62

total DFT energy (no corrections) = -6.19 eV per atom
calculated formation energy = 120 meV per atom
polymorph energy (0 for the lowest one) = 0.070 eV/atom
V = 16.87 A^3/atom

Material: Pr2IrPb
Method: DFT, PBE-GGA
State: optimized geometry

Lattice parameters (Å, degrees): 4.4254 4.4254 7.1422 90.00 90.00 120.00
Closest atoms and distances in Å follow each position.
Space group P-3m1 (No. 164)
One atom of each set of equivalent atoms:
Pr  0.3333  0.6667  0.1992 (multiplicity 2)  3 Ir 2.92
Ir  0.0000  0.0000  0.0000 (multiplicity 1)  6 Pr 2.92
Pb  0.0000  0.0000  0.5000 (multiplicity 1)  6 Pr 3.34, 2 Ir 3.57

total DFT energy (no corrections) = -6.01 eV per atom
calculated formation energy = -475 meV per atom
polymorph energy (0 for the lowest one) = 0.084 eV/atom
V = 30.28 A^3/atom

Material: Th2Al3Au
Method: DFT, PBE-GGA
State: optimized geometry

Lattice parameters (Å, degrees): 8.1595 8.9344 15.4687 90.00 90.00 90.00
Closest atoms and distances in Å follow each position.
Space group Fmmm (No. 69)
One atom of each set of equivalent atoms:
Th  0.2477  0.0000  0.0000 (multiplicity 8)  2 Au 3.28, 10 Al 3.28-3.29
Th  0.2500  0.2500  0.2500 (multiplicity 8)  4 Au 3.29, 8 Al 3.29
Al  0.0000  0.0000  0.3339 (multiplicity 8)  2 Al 2.56, 1 Au 2.58
Al  0.0000  0.2486  0.4168 (multiplicity 16)  2 Al 2.56-2.57, 1 Au 2.59
Au  0.0000  0.0000  0.1671 (multiplicity 8)  3 Al 2.58-2.59

total DFT energy (no corrections) = -5.43 eV per atom
calculated formation energy = -534 meV per atom
V = 23.49 A^3/atom

Material: GeHSeO
Method: DFT, PBE-GGA
State: optimized geometry

Lattice parameters (Å, degrees): 6.1285 4.7661 5.5409 90.00 95.67 90.00
Closest atoms and distances in Å follow each position.
Space group Cm (No. 8)
One atom of each set of equivalent atoms:
Ge  0.0000  0.0000  0.0000 (multiplicity 2)  1 O 1.80
H  0.1757  0.0000  0.4028 (multiplicity 2)  1 O 0.98
Se  0.3809  0.0000  0.8670 (multiplicity 2)  3 Ge 2.52-2.58, 1 H 2.75
O  0.0243  0.0000  0.3270 (multiplicity 2)  1 H 0.98

total DFT energy (no corrections) = -4.77 eV per atom
polymorph energy (0 for the lowest one) = 0.000 eV/atom
V = 20.13 A^3/atom